# 1
# LiPuTl2Cl6

A geometry-optimized LiPuTl2Cl6 structure (PBE-GGA, Alexandria via LeMat-Bulk).

The final energy is -94.834 eV for the cell shown. For the magnetic moment, the calculation gives 5.0 μB/f.u.

The structure belongs to space group P2_1/c (No. 14); the cell edges are 7.282, 7.552 and 12.681 Å and the angles 90.00°, 124.71° and 90.00°. The asymmetric unit holds Li at (0.000, 0.000, 0.000), Pu at (0.500, 0.000, 0.500), Tl at (0.237, 0.056, 0.751), Cl at (0.164, 0.212, 0.460), Cl at (0.258, 0.704, 0.466) and Cl at (0.317, 0.018, 0.244).

---

# 2
# LiPuTlCl4

A geometry-optimized LiPuTlCl4 structure (PBE-GGA, Alexandria via LeMat-Bulk).

The final energy is -73.402 eV for the cell shown. For the magnetic moment, the calculation gives 6.0 μB/f.u.

The structure belongs to space group P2_1/m (No. 11); the cell edges are 6.781, 6.920 and 8.895 Å and the angles 90.00°, 109.20° and 90.00°. The asymmetric unit holds Li at (0.230, 0.250, 0.313), Pu at (0.206, 0.750, 0.545), Tl at (0.278, 0.750, 0.065), Cl at (0.012, 0.001, 0.714), Cl at (0.446, 0.250, 0.159) and Cl at (0.451, 0.250, 0.577).

---

# 3
# LiPuTlCl5

A geometry-optimized LiPuTlCl5 structure (PBE-GGA, Alexandria via LeMat-Bulk).

The final energy is -164.661 eV for the cell shown. For the magnetic moment, the calculation gives 5.0 μB/f.u.

The structure belongs to space group C2/c (No. 15); the cell edges are 8.969, 12.215 and 10.170 Å and the angles 90.00°, 113.69° and 90.00°. The asymmetric unit holds Li at (0.000, 0.191, 0.250), Pu at (0.000, 0.500, 0.000), Tl at (0.000, 0.146, 0.750), Cl at (0.000, 0.418, 0.750), Cl at (0.111, 0.300, 0.115) and Cl at (0.188, 0.067, 0.424).

---

# 4
# LiTmPuCl6

A geometry-optimized LiTmPuCl6 structure (PBE-GGA, Alexandria via LeMat-Bulk).

The final energy is -99.110 eV for the cell shown. For the magnetic moment, the calculation gives 6.0 μB/f.u.

The structure belongs to space group P-31c (No. 163); the cell edges are 6.6691, 6.6691 and 12.5798 Å and the angles 90.00°, 90.00° and 120.00°. The asymmetric unit holds Li at (0.3333, 0.6667, 0.2500), Tm at (0.3333, 0.6667, 0.7500), Pu at (0.0000, 0.0000, 0.0000) and Cl at (0.0014, 0.3527, 0.1333).

---

# 5
# LiPuUCl6

A geometry-optimized LiPuUCl6 structure (PBE-GGA, Alexandria via LeMat-Bulk).

The final energy is -107.804 eV for the cell shown. For the magnetic moment, the calculation gives 9.0 μB/f.u.

The structure belongs to space group P-31c (No. 163); the cell edges are 6.8187, 6.8187 and 12.5638 Å and the angles 90.00°, 90.00° and 120.00°. The asymmetric unit holds Li at (0.3333, 0.6667, 0.2500), Pu at (0.0000, 0.0000, 0.0000), U at (0.3333, 0.6667, 0.7500) and Cl at (0.0167, 0.3520, 0.1301).

---

# 6
# RbLi2Cl3

A geometry-optimized RbLi2Cl3 structure (PBE-GGA, Alexandria via LeMat-Bulk).

The final energy is -85.395 eV for the cell shown. For the magnetic moment, the calculation gives 0.0 μB/f.u.

The structure belongs to space group Cmcm (No. 63); the cell edges are 9.454, 11.980 and 5.708 Å and the angles 90.00°, 90.00° and 90.00°. The asymmetric unit holds Rb at (0.000, 0.188, 0.250), Li at (0.161, 0.500, 0.000), Cl at (0.000, 0.401, 0.750) and Cl at (0.213, 0.114, 0.750).

---

no.,E_form (uncorrected) (eV/atom),D(E_F) (states/eV/cell)
1,-1.54,19.399
2,-1.53,34.798
3,-1.66,40.670
4,-1.97,36.897
5,-1.70,36.780
6,-1.84,0.000